i) NdYZr after structural relaxation, computed with PBE.

Results
Calculated volume = 29.24 Å³/atom
Symmetry = P-6m2

```
NdYZr
1.0
5.4403 0.0000 0.0000
-2.7201 4.7114 0.0000
0.0000 0.0000 3.4225
Nd Y Zr
1 1 1
Direct
0.0000 0.0000 0.0000
0.6667 0.3333 0.5000
0.3333 0.6667 0.0000
```

***

ii) NdYZr after structural relaxation, computed with PBE.

Results
Calculated volume = 29.59 Å³/atom
Symmetry = I4mm

```
NdYZr
1.0
-1.7134 1.7134 7.5603
1.7134 -1.7134 7.5603
1.7134 1.7134 -7.5603
Nd Y Zr
1 1 1
Direct
0.0000 0.0000 0.0000
0.6898 0.6898 0.0000
0.3408 0.3408 0.0000
```

***

How do the energies compare? Relative to the most stable structure, in meV/atom: i) 41; ii) 0.

***

i) NdY2Zr after structural relaxation, computed with PBE.

Results
Calculated volume = 30.14 Å³/atom
Symmetry = R3m

```
NdY2Zr
1.0
1.7486 1.0096 11.3829
-1.7486 1.0096 11.3829
0.0000 -2.0192 11.3829
Nd Y Zr
1 2 1
Direct
0.0000 0.0000 0.0000
0.5768 0.5768 0.5768
0.7559 0.7559 0.7559
0.1662 0.1662 0.1662
```

***

ii) NdY2Zr after structural relaxation, computed with PBE.

Results
Calculated volume = 30.27 Å³/atom
Symmetry = Fm-3m

```
NdY2Zr
1.0
0.0000 3.9266 3.9266
3.9266 0.0000 3.9266
3.9266 3.9266 0.0000
Nd Y Zr
1 2 1
Direct
0.0000 0.0000 0.0000
0.2500 0.2500 0.2500
0.7500 0.7500 0.7500
0.5000 0.5000 0.5000
```

***

iii) NdY2Zr after structural relaxation, computed with PBE.

Results
Calculated volume = 29.90 Å³/atom
Symmetry = P4/mmm

```
NdY2Zr
1.0
4.9184 0.0000 0.0000
0.0000 4.9184 0.0000
0.0000 0.0000 4.9437
Nd Y Zr
1 2 1
Direct
0.0000 0.0000 0.0000
0.0000 0.5000 0.5000
0.5000 0.0000 0.5000
0.5000 0.5000 0.0000
```

***

How do the energies compare? Relative to the most stable structure, in meV/atom: i) 0; ii) 134; iii) 25.

***

i) NdY2Zr after structural relaxation, computed with PBE.

Results
Calculated volume = 30.05 Å³/atom
Symmetry = R-3m

```
NdY2Zr
1.0
1.7409 1.0051 11.4510
-1.7409 1.0051 11.4510
0.0000 -2.0102 11.4510
Nd Y Zr
1 2 1
Direct
0.0000 0.0000 0.0000
0.2439 0.2439 0.2439
0.7561 0.7561 0.7561
0.5000 0.5000 0.5000
```

***

ii) NdY2Zr after structural relaxation, computed with PBE.

Results
Calculated volume = 30.44 Å³/atom
Symmetry = P4/mmm

```
NdY2Zr
1.0
4.0375 0.0000 0.0000
0.0000 4.0375 0.0000
0.0000 0.0000 7.4690
Nd Y Zr
1 2 1
Direct
0.0000 0.0000 0.0000
0.5000 0.5000 0.2798
0.5000 0.5000 0.7202
0.0000 0.0000 0.5000
```

***

How do the energies compare? Relative to the most stable structure, in meV/atom: i) 0; ii) 87.

***

i) NdZrZn2 after structural relaxation, computed with PBE.

Results
Calculated volume = 21.55 Å³/atom
Symmetry = P4/mmm

```
NdZrZn2
1.0
3.4944 0.0000 0.0000
0.0000 3.4944 0.0000
0.0000 0.0000 7.0608
Nd Zr Zn
1 1 2
Direct
0.0000 0.0000 0.0000
0.0000 0.0000 0.5000
0.5000 0.5000 0.2870
0.5000 0.5000 0.7130
```

***

ii) NdZrZn2 after structural relaxation, computed with PBE.

Results
Calculated volume = 23.31 Å³/atom
Symmetry = R-3m

```
NdZrZn2
1.0
1.7410 1.0052 8.8806
-1.7410 1.0052 8.8806
0.0000 -2.0104 8.8806
Nd Zr Zn
1 1 2
Direct
0.0000 0.0000 0.0000
0.5000 0.5000 0.5000
0.2429 0.2429 0.2429
0.7571 0.7571 0.7571
```

***

How do the energies compare? Relative to the most stable structure, in meV/atom: i) 0; ii) 242.

***

i) NdZrZn4 after structural relaxation, computed with PBE.

Results
Calculated volume = 18.67 Å³/atom
Symmetry = F-43m

```
NdZrZn4
1.0
0.0000 3.8261 3.8261
3.8261 0.0000 3.8261
3.8261 3.8261 0.0000
Nd Zr Zn
1 1 4
Direct
0.0000 0.0000 0.0000
0.2500 0.2500 0.2500
0.1287 0.6238 0.6238
0.6238 0.1287 0.6238
0.6238 0.6238 0.1287
0.6238 0.6238 0.6238
```

***

ii) NdZrZn4 after structural relaxation, computed with PBE.

Results
Calculated volume = 19.32 Å³/atom
Symmetry = Pmmm

```
NdZrZn4
1.0
3.3069 0.0000 0.0000
0.0000 4.4749 0.0000
0.0000 0.0000 7.8339
Nd Zr Zn
1 1 4
Direct
0.0000 0.0000 0.0000
0.0000 0.5000 0.5000
0.5000 0.0000 0.3443
0.5000 0.0000 0.6557
0.5000 0.5000 0.1838
0.5000 0.5000 0.8162
```

***

How do the energies compare? Relative to the most stable structure, in meV/atom: i) 48; ii) 0.

***

i) NdZr after structural relaxation, computed with PBE.

Results
Calculated volume = 28.35 Å³/atom
Symmetry = Pmmn

```
NdZr
1.0
3.3631 0.0000 0.0000
0.0000 5.5126 0.0000
0.0000 0.0000 6.1176
Nd Zr
2 2
Direct
0.2500 0.2500 0.1026
0.7500 0.7500 0.8974
0.2500 0.7500 0.4281
0.7500 0.2500 0.5719
```

***

ii) NdZr after structural relaxation, computed with PBE.

Results
Calculated volume = 28.16 Å³/atom
Symmetry = P-6m2

```
NdZr
1.0
3.4048 0.0000 0.0000
-1.7024 2.9487 0.0000
0.0000 0.0000 5.6092
Nd Zr
1 1
Direct
0.0000 0.0000 0.0000
0.6667 0.3333 0.5000
```

***

How do the energies compare? Relative to the most stable structure, in meV/atom: i) 0; ii) 30.

***

i) Ni after structural relaxation, computed with PBE.

Results
Calculated volume = 11.12 Å³/atom
Symmetry = Pm-3n

```
Ni
1.0
4.4642 0.0000 0.0000
0.0000 4.4642 0.0000
0.0000 0.0000 4.4642
Ni
8
Direct
0.0000 0.0000 0.0000
0.0000 0.2500 0.5000
0.0000 0.7500 0.5000
0.2500 0.5000 0.0000
0.5000 0.0000 0.2500
0.5000 0.0000 0.7500
0.5000 0.5000 0.5000
0.7500 0.5000 0.0000
```

***

ii) Ni after structural relaxation, computed with PBE.

Results
Calculated volume = 11.73 Å³/atom
Symmetry = P6/mmm

```
Ni
1.0
2.4049 0.0000 0.0000
-1.2025 2.0827 0.0000
0.0000 0.0000 2.3421
Ni
1
Direct
0.0000 0.0000 0.0000
```

***

How do the energies compare? Relative to the most stable structure, in meV/atom: i) 0; ii) 271.

***

i) NpNiOs after structural relaxation, computed with PBE.

Results
Calculated volume = 15.04 Å³/atom
Symmetry = C2/m

```
NpNiOs
1.0
7.4823 -2.1796 0.0000
7.4823 2.1796 0.0000
-0.0727 0.0000 2.7662
Np Ni Os
2 2 2
Direct
0.2125 0.2125 0.4820
0.7875 0.7875 0.5180
0.0633 0.0633 0.7634
0.9367 0.9367 0.2366
0.4223 0.4223 0.7426
0.5777 0.5777 0.2574
```

***

ii) NpNiOs after structural relaxation, computed with PBE.

Results
Calculated volume = 15.61 Å³/atom
Symmetry = P-6m2

```
NpNiOs
1.0
4.6177 0.0000 0.0000
-2.3089 3.9991 0.0000
0.0000 0.0000 2.5356
Np Ni Os
1 1 1
Direct
0.0000 0.0000 0.0000
0.6667 0.3333 0.5000
0.3333 0.6667 0.5000
```

***

iii) NpNiOs after structural relaxation, computed with PBE.

Results
Calculated volume = 16.26 Å³/atom
Symmetry = I4mm

```
NpNiOs
1.0
-1.5357 1.5357 5.1718
1.5357 -1.5357 5.1718
1.5357 1.5357 -5.1718
Np Ni Os
1 1 1
Direct
0.0000 0.0000 0.0000
0.6867 0.6867 0.0000
0.3288 0.3288 0.0000
```

***

How do the energies compare? Relative to the most stable structure, in meV/atom: i) 7; ii) 0; iii) 47.

***

i) NpNi4P2 after structural relaxation, computed with PBE.

Results
Calculated volume = 13.00 Å³/atom
Symmetry = P4_2/mnm

```
NpNi4P2
1.0
7.0854 0.0000 0.0000
0.0000 7.0854 0.0000
0.0000 0.0000 3.6243
Np Ni P
2 8 4
Direct
0.0000 0.0000 0.0000
0.5000 0.5000 0.5000
0.0892 0.3400 0.5000
0.1600 0.5892 0.0000
0.3400 0.0892 0.5000
0.4108 0.8400 0.0000
0.5892 0.1600 0.0000
0.6600 0.9108 0.5000
0.8400 0.4108 0.0000
0.9108 0.6600 0.5000
0.2176 0.7824 0.5000
0.2824 0.2824 0.0000
0.7176 0.7176 0.0000
0.7824 0.2176 0.5000
```

***

ii) NpNi4P2 after structural relaxation, computed with PBE.

Results
Calculated volume = 13.41 Å³/atom
Symmetry = R-3m

```
NpNi4P2
1.0
1.9378 1.1188 7.2186
-1.9378 1.1188 7.2186
0.0000 -2.2376 7.2186
Np Ni P
1 4 2
Direct
0.0000 0.0000 0.0000
0.1427 0.1427 0.1427
0.4310 0.4310 0.4310
0.5690 0.5690 0.5690
0.8573 0.8573 0.8573
0.2476 0.2476 0.2476
0.7524 0.7524 0.7524
```

***

How do the energies compare? Relative to the most stable structure, in meV/atom: i) 0; ii) 84.

***

i) Np2Ni2P3 after structural relaxation, computed with PBE.

Results
Calculated volume = 15.85 Å³/atom
Symmetry = Cmcm

```
Np2Ni2P3
1.0
1.9076 -8.2025 0.0000
1.9076 8.2025 0.0000
0.0000 0.0000 7.0890
Np Ni P
4 4 6
Direct
0.0490 0.9510 0.7500
0.1427 0.8573 0.2500
0.8573 0.1427 0.7500
0.9510 0.0490 0.2500
0.2982 0.7018 0.0656
0.2982 0.7018 0.4344
0.7018 0.2982 0.5656
0.7018 0.2982 0.9344
0.2247 0.7753 0.7500
0.4317 0.5683 0.5317
0.4317 0.5683 0.9683
0.5683 0.4317 0.0317
0.5683 0.4317 0.4683
0.7753 0.2247 0.2500
```

***

ii) Np2Ni2P3 after structural relaxation, computed with PBE.

Results
Calculated volume = 17.91 Å³/atom
Symmetry = C2/m

```
Np2Ni2P3
1.0
5.3223 -1.8950 0.0000
5.3223 1.8950 0.0000
-1.7232 0.0000 6.2141
Np Ni P
2 2 3
Direct
0.0929 0.0929 0.3031
0.9071 0.9071 0.6969
0.3211 0.3211 0.1029
0.6789 0.6789 0.8971
0.2051 0.2051 0.7351
0.5000 0.5000 0.0000
0.7949 0.7949 0.2649
```

***

How do the energies compare? Relative to the most stable structure, in meV/atom: i) 0; ii) 101.

***

i) NpNi3P2 after structural relaxation, computed with PBE.

Results
Calculated volume = 13.68 Å³/atom
Symmetry = Immm

```
NpNi3P2
1.0
-1.7976 4.1236 5.5381
1.7976 -4.1236 5.5381
1.7976 4.1236 -5.5381
Np Ni P
2 6 4
Direct
0.1083 0.1083 0.0000
0.8917 0.8917 0.0000
0.1370 0.3201 0.8169
0.3552 0.0000 0.3552
0.4968 0.6799 0.8169
0.5032 0.3201 0.1831
0.6448 0.0000 0.6448
0.8630 0.6799 0.1831
0.1999 0.5000 0.6999
0.3180 0.8180 0.5000
0.6820 0.1820 0.5000
0.8001 0.5000 0.3001
```

***

ii) NpNi3P2 after structural relaxation, computed with PBE.

Results
Calculated volume = 13.67 Å³/atom
Symmetry = C2/m

```
NpNi3P2
1.0
7.0280 -1.8548 0.0000
7.0280 1.8548 0.0000
-2.9161 0.0000 6.2918
Np Ni P
2 6 4
Direct
0.1539 0.1539 0.0659
0.8461 0.8461 0.9341
0.0441 0.0441 0.3699
0.3157 0.3157 0.5621
0.4039 0.4039 0.3190
0.5961 0.5961 0.6810
0.6843 0.6843 0.4379
0.9559 0.9559 0.6301
0.1889 0.1889 0.6799
0.4806 0.4806 0.8238
0.5194 0.5194 0.1762
0.8111 0.8111 0.3201
```

***

How do the energies compare? Relative to the most stable structure, in meV/atom: i) 176; ii) 0.

***

i) NpNi2Pt4 after structural relaxation, computed with PBE.

Results
Calculated volume = 21.07 Å³/atom
Symmetry = I4/mmm

```
NpNi2Pt4
1.0
-3.9434 3.9434 2.3714
3.9434 -3.9434 2.3714
3.9434 3.9434 -2.3714
Np Ni Pt
1 2 4
Direct
0.0000 0.0000 0.0000
0.2500 0.7500 0.5000
0.7500 0.2500 0.5000
0.2692 0.5000 0.7692
0.5000 0.2692 0.7692
0.5000 0.7308 0.2308
0.7308 0.5000 0.2308
```

***

ii) NpNi2Pt4 after structural relaxation, computed with PBE.

Results
Calculated volume = 16.15 Å³/atom
Symmetry = C2/m

```
NpNi2Pt4
1.0
4.1921 -3.3068 0.0000
4.1921 3.3068 0.0000
-3.1888 0.0000 4.0782
Np Ni Pt
1 2 4
Direct
0.0000 0.0000 0.0000
0.5001 0.5001 0.2500
0.4999 0.4999 0.7500
0.0002 0.4092 0.7047
0.9998 0.5908 0.2953
0.4092 0.0002 0.7047
0.5908 0.9998 0.2953
```

***

How do the energies compare? Relative to the most stable structure, in meV/atom: i) 637; ii) 0.

***

i) NpNi2Rh after structural relaxation, computed with PBE.

Results
Calculated volume = 18.70 Å³/atom
Symmetry = P-6m2

```
NpNi2Rh
1.0
4.2534 0.0000 0.0000
-2.1267 3.6835 0.0000
0.0000 0.0000 4.7751
Np Ni Rh
1 2 1
Direct
0.0000 0.0000 0.0000
0.0000 0.0000 0.5000
0.3333 0.6667 0.5000
0.6667 0.3333 0.5000
```

***

ii) NpNi2Rh after structural relaxation, computed with PBE.

Results
Calculated volume = 14.89 Å³/atom
Symmetry = P4/mmm

```
NpNi2Rh
1.0
3.8795 0.0000 0.0000
0.0000 3.8795 0.0000
0.0000 0.0000 3.9563
Np Ni Rh
1 2 1
Direct
0.0000 0.0000 0.0000
0.0000 0.5000 0.5000
0.5000 0.0000 0.5000
0.5000 0.5000 0.0000
```

***

How do the energies compare? Relative to the most stable structure, in meV/atom: i) 480; ii) 0.